(1)
CaZrCr2 | meta-GGA SCAN | single point on PBEsol structure

As for the energy of formation: 0.7641 eV/atom. The total magnetization is 0.000 μB per atom.

It has space group C2/m (No. 12), with a = 9.346 Å, b = 3.047 Å, c = 6.036 Å, α = 90.00°, β = 94.81° and γ = 90.00°. The asymmetric unit holds Ca at (0.000, 0.000, 0.000), Zr at (0.000, 0.500, 0.500) and Cr at (0.249, 0.000, 0.629).

(2)
CaZrCr2 | meta-GGA SCAN | single point on PBEsol structure

As for the energy of formation: 0.6233 eV/atom. The total magnetization is 0.000 μB per atom.

It has space group Pmmm (No. 47), with a = 3.506 Å, b = 3.571 Å, c = 6.428 Å, α = 90.00°, β = 90.00° and γ = 90.00°. The asymmetric unit holds Ca at (0.000, 0.000, 0.000), Zr at (0.000, 0.000, 0.500) and Cr at (0.500, 0.500, 0.343).